NbFeSnO6 | GGA+U | optimized geometry

The space group is P-31c (No. 163) and the conventional cell measures 5.2439, 5.2439 and 8.9413 Å, with angles of 90.00, 90.00 and 120.00 degrees. The distinct sites, in fractional coordinates, are Nb at (0.3333, 0.6667, 0.2500), Fe at (0.0000, 0.0000, 0.0000), Sn at (0.3333, 0.6667, 0.7500) and O at (0.0110, 0.3396, 0.1274).

The calculation puts the electronic total energy at -131.27 eV/cell. Its magnetization is 5.038 μB/f.u.